The following is a DFT calculation (GGA-PBE) of Y2TmMg2Pd5 after structural relaxation.

Lattice parameters (Å, degrees): 3.681 10.349 10.349 90.00 90.00 90.00
Fractional positions:
Y 0.000 0.676 0.176
Y 0.000 0.324 0.824
Y 0.000 0.176 0.324
Y 0.000 0.824 0.676
Tm 0.000 0.000 0.000
Tm 0.000 0.500 0.500
Mg 0.000 0.123 0.623
Mg 0.000 0.877 0.377
Mg 0.000 0.623 0.877
Mg 0.000 0.377 0.123
Pd 0.500 0.205 0.062
Pd 0.500 0.795 0.938
Pd 0.500 0.062 0.795
Pd 0.500 0.705 0.438
Pd 0.500 0.938 0.205
Pd 0.500 0.295 0.562
Pd 0.500 0.562 0.705
Pd 0.500 0.438 0.295
Pd 0.500 0.500 0.000
Pd 0.500 0.000 0.500

Values from the calculation:
DOS(E_F)   7.42 states/eV/f.u.
SG   P4/mbm, No. 127

The following is a DFT calculation (GGA-PBE) of TmMg2ZnPd4 after structural relaxation.

Lattice parameters (Å, degrees): 4.565 4.565 7.959 73.33 73.33 60.00
Fractional positions:
Tm 0.000 0.000 0.000
Mg 0.755 0.755 0.736
Mg 0.245 0.245 0.264
Zn 0.500 0.500 0.500
Pd 0.383 0.383 0.850
Pd 0.873 0.873 0.380
Pd 0.127 0.127 0.620
Pd 0.617 0.617 0.150

Values from the calculation:
DOS(E_F)   3.18 states/eV/f.u.
SG   R-3m, No. 166

The following is a DFT calculation (GGA-PBE) of Tm2MgZnPd4 after structural relaxation.

Lattice parameters (Å, degrees): 4.672 4.672 8.138 73.32 73.32 60.00
Fractional positions:
Tm 0.752 0.752 0.743
Tm 0.248 0.248 0.257
Mg 0.000 0.000 0.000
Zn 0.500 0.500 0.500
Pd 0.374 0.374 0.877
Pd 0.875 0.875 0.375
Pd 0.125 0.125 0.625
Pd 0.626 0.626 0.123

Values from the calculation:
DOS(E_F)   3.50 states/eV/f.u.
SG   R-3m, No. 166

The following is a DFT calculation (GGA-PBE) of Tm2MgZn2Pd5 after structural relaxation.

Lattice parameters (Å, degrees): 3.772 9.671 9.671 90.00 90.00 90.00
Fractional positions:
Tm 0.000 0.676 0.176
Tm 0.000 0.324 0.824
Tm 0.000 0.176 0.324
Tm 0.000 0.824 0.676
Mg 0.000 0.000 0.000
Mg 0.000 0.500 0.500
Zn 0.000 0.121 0.621
Zn 0.000 0.879 0.379
Zn 0.000 0.621 0.879
Zn 0.000 0.379 0.121
Pd 0.500 0.204 0.070
Pd 0.500 0.796 0.930
Pd 0.500 0.070 0.796
Pd 0.500 0.704 0.430
Pd 0.500 0.930 0.204
Pd 0.500 0.296 0.570
Pd 0.500 0.570 0.704
Pd 0.500 0.430 0.296
Pd 0.500 0.500 0.000
Pd 0.500 0.000 0.500

Values from the calculation:
DOS(E_F)   3.51 states/eV/f.u.
SG   P4/mbm, No. 127

The following is a DFT calculation (GGA-PBE) of MgU2Pd9 after structural relaxation.

Lattice parameters (Å, degrees): 4.101 4.101 12.133 90.00 90.00 90.00
Last column: magnetic moment on the atom in μB.
Fractional positions:
Mg 0.000 0.000 0.000  0.00
U 0.000 0.000 0.325  1.70
U 0.000 0.000 0.675  1.70
Pd 0.500 0.500 0.000  -0.02
Pd 0.500 0.500 0.332  -0.04
Pd 0.500 0.500 0.668  -0.04
Pd 0.500 0.000 0.163  -0.03
Pd 0.500 0.000 0.500  -0.04
Pd 0.500 0.000 0.837  -0.03
Pd 0.000 0.500 0.163  -0.03
Pd 0.000 0.500 0.500  -0.04
Pd 0.000 0.500 0.837  -0.03

Values from the calculation:
DOS(E_F)   16.14 states/eV/f.u.
SG   P4/mmm, No. 123

The following is a DFT calculation (GGA-PBE) of MgU2Pd8 after structural relaxation.

Lattice parameters (Å, degrees): 4.044 8.128 7.559 122.53 105.52 90.00
Last column: magnetic moment on the atom in μB.
Fractional positions:
Mg 0.500 0.000 0.000  0.00
U 0.158 0.658 0.315  1.79
U 0.842 0.342 0.685  1.79
Pd 0.662 0.910 0.324  -0.05
Pd 0.338 0.586 0.676  -0.05
Pd 0.173 0.173 0.347  -0.03
Pd 0.000 0.248 0.000  -0.04
Pd 0.827 0.827 0.653  -0.03
Pd 0.662 0.414 0.324  -0.05
Pd 0.338 0.090 0.676  -0.05
Pd 0.000 0.752 0.000  -0.04

Values from the calculation:
DOS(E_F)   15.48 states/eV/f.u.
SG   Immm, No. 71

The following is a DFT calculation (GGA-PBE) of MgU4Pd15 after structural relaxation.

Lattice parameters (Å, degrees): 4.128 4.128 20.383 90.00 90.00 90.00
Last column: magnetic moment on the atom in μB.
Fractional positions:
Mg 0.000 0.000 0.000  0.00
U 0.000 0.000 0.191  1.81
U 0.000 0.000 0.397  2.13
U 0.000 0.000 0.603  2.13
U 0.000 0.000 0.809  1.81
Pd 0.500 0.500 0.000  -0.02
Pd 0.500 0.500 0.196  -0.03
Pd 0.500 0.500 0.398  -0.01
Pd 0.500 0.500 0.602  -0.01
Pd 0.500 0.500 0.804  -0.03
Pd 0.500 0.000 0.096  -0.02
Pd 0.500 0.000 0.296  -0.02
Pd 0.500 0.000 0.500  -0.01
Pd 0.500 0.000 0.704  -0.02
Pd 0.500 0.000 0.904  -0.02
Pd 0.000 0.500 0.096  -0.02
Pd 0.000 0.500 0.296  -0.02
Pd 0.000 0.500 0.500  -0.01
Pd 0.000 0.500 0.704  -0.02
Pd 0.000 0.500 0.904  -0.02

Values from the calculation:
DOS(E_F)   32.18 states/eV/f.u.
SG   P4/mmm, No. 123

The following is a DFT calculation (GGA-PBE) of MgUPd14 after structural relaxation.

Lattice parameters (Å, degrees): 5.744 5.744 7.729 90.00 90.00 90.00
Fractional positions:
Mg 0.875 0.875 0.500
U 0.375 0.375 0.500
Pd 0.875 0.875 0.000
Pd 0.375 0.375 0.000
Pd 0.875 0.375 0.500
Pd 0.875 0.375 0.000
Pd 0.375 0.875 0.500
Pd 0.375 0.875 0.000
Pd 0.623 0.127 0.252
Pd 0.623 0.127 0.748
Pd 0.127 0.623 0.252
Pd 0.127 0.623 0.748
Pd 0.623 0.623 0.252
Pd 0.623 0.623 0.748
Pd 0.127 0.127 0.252
Pd 0.127 0.127 0.748

Values from the calculation:
DOS(E_F)   18.03 states/eV/f.u.
SG   P4/mmm, No. 123

The following is a DFT calculation (GGA-PBE) of Mg2UPd9 after structural relaxation.

Lattice parameters (Å, degrees): 4.048 4.048 11.932 90.00 90.00 90.00
Last column: magnetic moment on the atom in μB.
Fractional positions:
Mg 0.000 0.000 0.342  0.00
Mg 0.000 0.000 0.658  0.00
U 0.000 0.000 0.000  0.99
Pd 0.500 0.500 0.000  -0.04
Pd 0.500 0.500 0.334  -0.03
Pd 0.500 0.500 0.666  -0.03
Pd 0.500 0.000 0.168  -0.04
Pd 0.500 0.000 0.500  -0.03
Pd 0.500 0.000 0.832  -0.04
Pd 0.000 0.500 0.168  -0.04
Pd 0.000 0.500 0.500  -0.03
Pd 0.000 0.500 0.832  -0.04

Values from the calculation:
DOS(E_F)   13.51 states/eV/f.u.
SG   P4/mmm, No. 123

The following is a DFT calculation (GGA-PBE) of Mg3UPd12 after structural relaxation.

Lattice parameters (Å, degrees): 4.045 4.045 15.775 90.00 90.00 90.00
Last column: magnetic moment on the atom in μB.
Fractional positions:
Mg 0.000 0.000 0.257  0.00
Mg 0.000 0.000 0.500  0.00
Mg 0.000 0.000 0.743  0.00
U 0.000 0.000 0.000  1.05
Pd 0.500 0.500 0.000  -0.04
Pd 0.500 0.500 0.254  -0.02
Pd 0.500 0.500 0.500  -0.03
Pd 0.500 0.500 0.746  -0.02
Pd 0.500 0.000 0.127  -0.04
Pd 0.500 0.000 0.378  -0.02
Pd 0.500 0.000 0.622  -0.02
Pd 0.500 0.000 0.873  -0.04
Pd 0.000 0.500 0.127  -0.04
Pd 0.000 0.500 0.378  -0.02
Pd 0.000 0.500 0.622  -0.02
Pd 0.000 0.500 0.873  -0.04

Values from the calculation:
DOS(E_F)   18.21 states/eV/f.u.
SG   P4/mmm, No. 123

The following is a DFT calculation (GGA-PBE) of MgVPd4 after structural relaxation.

Lattice parameters (Å, degrees): 2.814 2.814 11.471 90.00 90.00 90.00
Fractional positions:
Mg 0.000 0.000 0.000
V 0.500 0.500 0.500
Pd 0.500 0.500 0.164
Pd 0.000 0.000 0.656
Pd 0.000 0.000 0.344
Pd 0.500 0.500 0.836

Values from the calculation:
DOS(E_F)   6.32 states/eV/f.u.
SG   P4/mmm, No. 123

The following is a DFT calculation (GGA-PBE) of MgV2Pd8 after structural relaxation.

Lattice parameters (Å, degrees): 3.956 6.249 7.274 105.34 105.78 90.00
Last column: magnetic moment on the atom in μB.
Fractional positions:
Mg 0.500 0.000 0.000  0.00
V 0.775 0.349 0.550  0.93
V 0.225 0.651 0.450  0.93
Pd 0.399 0.535 0.798  0.03
Pd 0.682 0.918 0.364  -0.02
Pd 0.854 0.796 0.708  0.02
Pd 0.954 0.274 0.908  0.00
Pd 0.146 0.204 0.292  0.02
Pd 0.318 0.082 0.636  -0.02
Pd 0.601 0.465 0.202  0.03
Pd 0.046 0.726 0.092  0.00

Values from the calculation:
DOS(E_F)   9.91 states/eV/f.u.
SG   C2/m, No. 12

The records above yield ΔH_f (0 K) values of -711.1; -728.9; -806.1; -725.5; -557.4; -414.5; -536.1; -318.0; -527.4; -513.2; -356.5; -318.0 meV per atom, respectively.